# 1
Density functional theory data (PBE-GGA) for an optimized crystal structure of Ga2MoRh3.

abc: 2.874 2.874 10.359
angles: 90.00 90.00 90.00
Fractional coordinates of all 6 atoms:
Ga1 0.000 0.000 0.159
Ga2 0.000 0.000 0.841
Mo1 0.000 0.000 0.500
Rh1 0.500 0.500 0.000
Rh2 0.500 0.500 0.320
Rh3 0.500 0.500 0.680

Results
DOS at the Fermi energy   0.55 states/eV per atom
Energy   -6.994 eV/atom
DFT formation energy   -0.504 eV per atom

---

# 2
Density functional theory data (PBE-GGA) for an optimized crystal structure of HoCd6Hg.

abc: 4.840 7.104 7.104
angles: 50.63 90.00 90.00
Fractional coordinates of all 8 atoms:
Ho1 0.000 0.000 0.000
Cd1 0.000 0.493 0.970
Cd2 0.000 0.970 0.493
Cd3 0.500 0.118 0.640
Cd4 0.500 0.162 0.162
Cd5 0.500 0.606 0.606
Cd6 0.500 0.640 0.118
Hg1 0.000 0.448 0.448

Results
DOS at the Fermi energy   0.39 states/eV per atom
Energy   -1.397 eV/atom
DFT formation energy   -0.101 eV per atom

---

# 3
Density functional theory data (PBE-GGA) for an optimized crystal structure of LaSiTe2.

abc: 9.669 9.669 9.669
angles: 144.83 144.83 50.59
Fractional coordinates of all 8 atoms:
La1 0.000 0.000 0.000
La2 0.750 0.250 0.500
Si1 0.250 0.750 0.500
Si2 0.500 0.500 0.000
Te1 0.167 0.625 0.042
Te2 0.375 0.417 0.542
Te3 0.583 0.125 0.958
Te4 0.875 0.833 0.458

Results
DOS at the Fermi energy   0.48 states/eV per atom
Energy   -4.452 eV/atom

---

# 4
Density functional theory data (PBE-GGA) for an optimized crystal structure of SrPmTe2F.

abc: 4.397 4.397 15.784
angles: 90.00 90.00 90.00
Fractional coordinates of all 10 atoms:
Sr1 0.250 0.250 0.083
Sr2 0.750 0.750 0.917
Pm1 0.250 0.250 0.627
Pm2 0.750 0.750 0.373
Te1 0.250 0.250 0.410
Te2 0.250 0.250 0.812
Te3 0.750 0.750 0.188
Te4 0.750 0.750 0.590
F1 0.250 0.750 0.000
F2 0.750 0.250 0.000

Results
DOS at the Fermi energy   0.33 states/eV per atom
Energy   -5.099 eV/atom

---

# 5
Density functional theory data (PBE-GGA) for an optimized crystal structure of Pr6Sm3Dy2Ho.

abc: 6.340 6.340 11.994
angles: 95.04 95.04 120.01
Fractional coordinates of all 12 atoms:
Pr1 0.084 0.417 0.753
Pr2 0.250 0.250 0.248
Pr3 0.417 0.084 0.753
Pr4 0.583 0.916 0.247
Pr5 0.750 0.750 0.752
Pr6 0.916 0.583 0.247
Sm1 0.000 0.000 0.500
Sm2 0.333 0.667 0.500
Sm3 0.667 0.333 0.500
Dy1 0.167 0.833 0.000
Dy2 0.833 0.167 0.000
Ho1 0.500 0.500 0.000

Results
DOS at the Fermi energy   1.22 states/eV per atom
Energy   -4.706 eV/atom
DFT formation energy   0.012 eV per atom

---

# 6
Density functional theory data (PBE-GGA) for an optimized crystal structure of NbSbP2Cl.

abc: 4.954 4.954 4.701
angles: 90.00 90.00 90.00
Fractional coordinates of all 5 atoms:
Nb1 0.000 0.000 0.000
Sb1 0.500 0.500 0.500
P1 0.000 0.500 0.000
P2 0.500 0.000 0.000
Cl1 0.000 0.000 0.500

Results
Excess energy over the best structure of this formula in the dataset   0 meV/atom
DOS at the Fermi energy   0.70 states/eV per atom
Energy   -5.178 eV/atom

---

# 7
Density functional theory data (PBE-GGA) for an optimized crystal structure of KSr2Tl8.

abc: 9.753 9.753 6.165
angles: 105.51 105.51 127.48
Fractional coordinates of all 11 atoms:
K1 0.000 0.000 0.000
Sr1 0.314 0.686 0.500
Sr2 0.686 0.314 0.500
Tl1 0.100 0.366 0.766
Tl2 0.205 0.795 0.000
Tl3 0.366 0.100 0.766
Tl4 0.473 0.473 0.727
Tl5 0.527 0.527 0.273
Tl6 0.634 0.900 0.234
Tl7 0.795 0.205 0.000
Tl8 0.900 0.634 0.234

Results
DOS at the Fermi energy   0.55 states/eV per atom
Energy   -2.307 eV/atom
DFT formation energy   -0.180 eV per atom

---

# 8
Density functional theory data (PBE-GGA) for an optimized crystal structure of CaCrPt2.

abc: 2.943 4.173 5.954
angles: 90.00 90.00 90.00
Fractional coordinates of all 4 atoms:
Ca1 0.000 0.000 0.000
Cr1 0.500 0.500 0.344
Pt1 0.000 0.000 0.484
Pt2 0.500 0.500 0.776

Results
Excess energy over the best structure of this formula in the dataset   208 meV/atom
DOS at the Fermi energy   0.82 states/eV per atom
Energy   -6.134 eV/atom
DFT formation energy   -0.207 eV per atom